No. 1
{"formula": "Ac3CdSb2Au6", "functional": "GGA-PBE", "state": "optimized geometry", "raw_formation_energy_ev_per_atom": -0.56, "sg": "No. 164", "lattice": [[6.485, 0.000, 0.000], [-3.243, 5.617, 0.000], [0.000, 0.000, 8.894]], "species": ["Ac", "Ac", "Ac", "Cd", "Sb", "Sb", "Au", "Au", "Au", "Au", "Au", "Au"], "frac_coords": [[0.333, 0.667, 0.630], [0.667, 0.333, 0.370], [0.000, 0.000, 0.000], [0.000, 0.000, 0.500], [0.667, 0.333, 0.967], [0.333, 0.667, 0.033], [0.640, 0.820, 0.285], [0.180, 0.360, 0.285], [0.180, 0.820, 0.285], [0.820, 0.640, 0.715], [0.360, 0.180, 0.715], [0.820, 0.180, 0.715]]}

---

No. 2
{"formula": "Ac2ScCdAu6", "functional": "GGA-PBE", "state": "optimized geometry", "ef_ev_per_fu": -3.02, "sg": "No. 225", "lattice": [[-2.194, -2.147, -6.690], [7.009, -0.179, -2.241], [2.755, -6.140, -2.982]], "species": ["Ac", "Ac", "Sc", "Cd", "Au", "Au", "Au", "Au", "Au", "Au"], "frac_coords": [[0.250, 0.750, 0.500], [0.750, 0.250, 0.500], [0.500, 0.500, 0.000], [0.000, 0.000, 0.000], [0.253, 0.747, 0.000], [0.747, 0.747, 0.000], [0.253, 0.253, 0.495], [0.747, 0.253, 0.000], [0.253, 0.253, 0.000], [0.747, 0.747, 0.505]]}

---

No. 3
{"formula": "Ac2CdSi4Au3", "functional": "GGA-PBE", "state": "optimized geometry", "raw_formation_energy_ev_per_atom": -0.52, "sg": "No. 115", "lattice": [[4.523, 0.000, 0.000], [0.000, 4.523, 0.000], [0.000, 0.000, 10.485]], "species": ["Ac", "Ac", "Cd", "Si", "Si", "Si", "Si", "Au", "Au", "Au"], "frac_coords": [[0.500, 0.000, 0.241], [0.000, 0.500, 0.759], [0.500, 0.500, 0.500], [0.500, 0.500, 0.000], [0.000, 0.000, 0.000], [0.500, 0.000, 0.640], [0.000, 0.500, 0.360], [0.000, 0.000, 0.500], [0.500, 0.000, 0.881], [0.000, 0.500, 0.119]]}

---

No. 4
{"formula": "AcCdSi2Au5", "functional": "GGA-PBE", "state": "optimized geometry", "raw_formation_energy_ev_per_atom": -0.29, "sg": "No. 123", "lattice": [[4.672, 0.000, 0.000], [0.000, 4.672, 0.000], [0.000, 0.000, 9.540]], "species": ["Ac", "Cd", "Si", "Si", "Au", "Au", "Au", "Au", "Au"], "frac_coords": [[0.000, 0.000, 0.500], [0.000, 0.000, 0.000], [0.500, 0.500, 0.251], [0.500, 0.500, 0.749], [0.000, 0.500, 0.179], [0.500, 0.000, 0.179], [0.000, 0.500, 0.821], [0.500, 0.000, 0.821], [0.500, 0.500, 0.500]]}

---

No. 5
{"formula": "AcSmCdAu", "functional": "GGA-PBE", "state": "optimized geometry", "ef_ev_per_fu": -1.93, "sg": "No. 216", "lattice": [[-3.782, 2.850, 2.752], [-0.387, -0.503, 5.440], [1.517, 4.141, 3.248]], "species": ["Ac", "Au", "Sm", "Cd"], "frac_coords": [[0.500, 0.500, 0.500], [0.250, 0.250, 0.250], [0.000, 0.000, 0.000], [0.750, 0.750, 0.750]]}

---

No. 6
{"formula": "AcCdSnAu", "functional": "GGA-PBE", "state": "optimized geometry", "ef_ev_per_fu": -1.92, "sg": "No. 216", "lattice": [[5.331, 0.000, 0.000], [2.665, 4.617, 0.000], [2.665, 1.539, 4.353]], "species": ["Ac", "Au", "Sn", "Cd"], "frac_coords": [[0.500, 0.500, 0.500], [0.250, 0.250, 0.250], [0.000, 0.000, 0.000], [0.750, 0.750, 0.750]]}

---

No. 7
{"formula": "AcCdSn2Au2", "functional": "GGA-PBE", "state": "optimized geometry", "ef_ev_per_fu": -2.47, "sg": "No. 58", "lattice": [[5.026, 0.000, 0.000], [0.000, 7.689, 0.000], [0.000, 0.000, 8.528]], "species": ["Ac", "Ac", "Cd", "Cd", "Sn", "Sn", "Sn", "Sn", "Au", "Au", "Au", "Au"], "frac_coords": [[0.500, 0.500, 0.000], [0.000, 0.000, 0.500], [0.000, 0.000, 0.000], [0.500, 0.500, 0.500], [0.500, 0.164, 0.273], [0.000, 0.664, 0.227], [0.500, 0.836, 0.727], [0.000, 0.336, 0.773], [0.500, 0.796, 0.322], [0.500, 0.204, 0.678], [0.000, 0.704, 0.822], [0.000, 0.296, 0.178]]}

---

No. 8
{"formula": "Ac2CdSn4Au3", "functional": "GGA-PBE", "state": "optimized geometry", "ef_ev_per_fu": -5.76, "sg": "No. 115", "lattice": [[-2.931, 1.421, -3.378], [-3.568, -0.116, 3.047], [2.130, 11.346, 2.924]], "species": ["Ac", "Ac", "Cd", "Sn", "Sn", "Sn", "Sn", "Au", "Au", "Au"], "frac_coords": [[0.500, 0.000, 0.252], [0.000, 0.500, 0.748], [0.500, 0.500, 0.500], [0.500, 0.500, 0.000], [0.000, 0.000, 0.000], [0.500, 0.000, 0.637], [0.000, 0.500, 0.363], [0.000, 0.000, 0.500], [0.500, 0.000, 0.862], [0.000, 0.500, 0.138]]}

---

No. 9
{"formula": "AcCd2Sn2Au2", "functional": "GGA-PBE", "state": "optimized geometry", "ef_ev_per_fu": -2.99, "sg": "No. 166", "lattice": [[4.832, 0.000, 0.000], [2.416, 4.184, 0.000], [2.416, 1.395, 9.013]], "species": ["Ac", "Cd", "Cd", "Sn", "Sn", "Au", "Au"], "frac_coords": [[0.000, 0.000, 0.000], [0.139, 0.139, 0.584], [0.861, 0.861, 0.416], [0.752, 0.752, 0.745], [0.248, 0.248, 0.255], [0.598, 0.598, 0.206], [0.402, 0.402, 0.794]]}

---

No. 10
{"formula": "AcTbCdAu", "functional": "GGA-PBE", "state": "optimized geometry", "ef_ev_per_fu": -1.92, "sg": "No. 216", "lattice": [[5.441, 0.000, 0.000], [2.720, 4.712, 0.000], [2.720, 1.571, 4.442]], "species": ["Tb", "Ac", "Au", "Cd"], "frac_coords": [[0.750, 0.750, 0.750], [0.250, 0.250, 0.250], [0.000, 0.000, 0.000], [0.500, 0.500, 0.500]]}

---

No. 11
{"formula": "AcCdTeAu", "functional": "GGA-PBE", "state": "optimized geometry", "raw_formation_energy_ev_per_atom": -0.69, "sg": "No. 216", "lattice": [[-0.379, 4.714, -2.823], [-1.733, -0.053, -5.227], [-4.948, 2.053, -1.282]], "species": ["Ac", "Te", "Au", "Cd"], "frac_coords": [[0.750, 0.750, 0.750], [0.000, 0.000, 0.000], [0.500, 0.500, 0.500], [0.250, 0.250, 0.250]]}

---

No. 12
{"formula": "Ac2TlCdAu", "functional": "GGA-PBE", "state": "optimized geometry", "ef_ev_per_fu": -2.57, "sg": "No. 11", "lattice": [[-0.018, 3.418, -3.516], [-6.794, 3.397, 3.337], [6.684, 3.365, 3.238]], "species": ["Ac", "Ac", "Ac", "Ac", "Tl", "Tl", "Cd", "Cd", "Au", "Au"], "frac_coords": [[0.750, 0.882, 0.652], [0.750, 0.698, 0.033], [0.250, 0.118, 0.348], [0.250, 0.302, 0.967], [0.250, 0.683, 0.337], [0.750, 0.317, 0.663], [0.250, 0.553, 0.663], [0.750, 0.447, 0.337], [0.250, 0.897, 0.921], [0.750, 0.103, 0.079]]}

---

no.,total moment (μB per formula unit)
1,0.0
2,0.0
3,0.0
4,0.0
5,0.0
6,0.0
7,0.0
8,0.0
9,0.0
10,0.0
11,0.0
12,0.0